Record 1
! YHfAl2Rh PBE optimized geometry; values from VASP
&SYSTEM
  ibrav = 0, nat = 5, ntyp = 4
/
ATOMIC_SPECIES
Al 26.98 Al.upf
Rh 102.91 Rh.upf
Hf 178.49 Hf.upf
Y 88.91 Y.upf
CELL_PARAMETERS angstrom
4.717 0.000 0.000
0.000 5.125 0.000
0.000 0.000 4.717
ATOMIC_POSITIONS crystal
Al 0.500 0.000 0.000
Al 0.000 0.000 0.500
Rh 0.000 0.000 0.000
Hf 0.500 0.500 0.500
Y 0.000 0.500 0.000
! Electronic total energy, hartree per atom: -0.2290
! DOS(E_F), states/eV/f.u.: 5.10
! Size of the total moment, Bohr magnetons per cell: 0.00
! Energy of formation from the pure elements, meV/atom: 20

Record 2
! PaFeCuTc PBE optimized geometry; values from VASP
&SYSTEM
  ibrav = 0, nat = 4, ntyp = 4
/
ATOMIC_SPECIES
Cu 63.55 Cu.upf
Pa 231.04 Pa.upf
Tc 98.00 Tc.upf
Fe 55.84 Fe.upf
CELL_PARAMETERS angstrom
-0.516 -4.029 -1.827
3.282 -2.999 0.258
-0.458 -3.583 2.604
ATOMIC_POSITIONS crystal
Cu 0.500 0.500 0.500
Pa 0.000 0.000 0.000
Tc 0.250 0.250 0.250
Fe 0.750 0.750 0.750
! Electronic total energy, hartree per atom: -0.2945
! DOS(E_F), states/eV/f.u.: 4.81
! Size of the total moment, Bohr magnetons per cell: 1.55
! Energy of formation from the pure elements, meV/atom: 93